# 1
Entry from the Alexandria database: VIrRh after structural relaxation (PBE-GGA).

Cell and atoms, written as extended XYZ:
```
6
Lattice="-1.2631 -0.3760 -3.6132 -2.8028 -2.1608 1.2047 -1.9484 5.8043 0.0772" Properties=species:S:1:pos:R:3 pbc="T T T"
Ir -3.1213 3.8623 -0.3342
Ir -2.8930 -0.5949 -1.9972
Rh -2.6290 2.0894 -2.3688
Rh -3.3854 1.1780 0.0374
V -5.1010 2.5188 -1.5493
V -0.9133 0.7486 -0.7821
```

Results
- Energy relative to the lowest polymorph listed for this composition: 0.000 eV per atom
- Magnetization: 0.00 μB per cell
- Calculated volume: 14.0 Å³ per atom



# 2
Entry from the Alexandria database: PSO2 after structural relaxation (PBE-GGA).

Cell and atoms, written as extended XYZ:
```
4
Lattice="1.6329 0.0000 8.4847 -0.8164 1.4141 8.4847 -0.8164 -1.4141 8.4847" Properties=species:S:1:pos:R:3 pbc="T T T"
P 0.0000 0.0000 0.0000
O 0.0000 0.0000 1.4778
O 0.0000 0.0000 23.9762
S 0.0000 0.0000 12.7270
```

Results
- Energy relative to the lowest polymorph listed for this composition: 0.309 eV per atom
- Magnetization: 0.34 μB per cell
- Calculated volume: 14.7 Å³ per atom
- Uncorrected formation energy: -0.04 eV/atom



# 3
Entry from the Alexandria database: Sr3InHg after structural relaxation (PBE-GGA).

Cell and atoms, written as extended XYZ:
```
20
Lattice="9.9842 -0.1774 -0.1327 0.3639 8.7318 -1.1733 0.3639 1.3412 8.7075" Properties=species:S:1:pos:R:3 pbc="T T T"
Sr 6.2653 5.1727 5.4144
Sr 8.4171 3.6544 -0.0337
Sr 1.2735 6.7437 3.4985
Sr 9.4385 3.1520 3.9030
Sr 3.4251 1.0887 3.5814
Sr 2.2948 6.2413 7.4352
Sr 6.1452 7.1054 -0.5530
Sr 4.5668 2.7902 7.9546
Sr 7.2869 8.8070 3.8201
Sr 1.1529 1.5654 7.0384
Sr 4.4466 4.7230 1.9872
Sr 9.5590 8.3302 0.3631
In 7.8520 5.8834 2.3575
In 2.8599 4.0122 5.0440
In 2.8599 7.7085 0.1023
In 7.8520 2.1872 7.2992
Hg 1.4739 2.4774 1.1350
Hg 6.4658 1.6998 1.9894
Hg 4.2461 8.1959 5.4122
Hg 9.2381 7.4182 6.2666
```

Results
- Energy relative to the lowest polymorph listed for this composition: 0.076 eV per atom
- Magnetization: 0.00 μB per cell
- Calculated volume: 38.8 Å³ per atom



# 4
Entry from the Alexandria database: Rb2SrSbIr after structural relaxation (PBE-GGA).

Cell and atoms, written as extended XYZ:
```
5
Lattice="-1.5242 -6.7017 -3.3026 5.3861 -1.8652 1.2991 -2.5429 -2.7040 6.6607" Properties=species:S:1:pos:R:3 pbc="T T T"
Sb 2.6930 -0.9326 0.6495
Ir 0.6595 -5.6354 2.3286
Sr 0.0000 0.0000 0.0000
Rb -0.7621 -3.3508 -1.6513
Rb -1.2714 -1.3520 3.3303
```

Results
- Magnetization: 2.00 μB per cell
- Calculated volume: 68.0 Å³ per atom
- Uncorrected formation energy: 1.19 eV/atom



# 5
Entry from the Alexandria database: U2NiAg2S6 after structural relaxation (PBE-GGA).

Cell and atoms, written as extended XYZ:
```
11
Lattice="-4.6471 0.4766 -4.7472 4.9682 -4.4024 -0.5421 -3.5322 -2.7346 4.9038" Properties=species:S:1:pos:R:3 pbc="T T T"
Ag -2.9110 -0.4043 -3.9879
Ag 3.2321 -3.5215 -1.3013
S -2.2384 -2.9107 -3.3417
S -2.2926 -5.0505 -0.6177
S -4.0413 -2.1926 1.6142
S -0.9727 -3.7497 2.9562
S 0.8302 -4.4678 -1.9997
S -0.9185 -1.6099 0.2322
U -0.0001 -4.1448 0.5094
U -3.2110 -2.5156 -0.8948
Ni -1.7661 -1.3673 2.4519
```

Results
- Magnetization: 4.60 μB per cell
- Calculated volume: 21.3 Å³ per atom
- Uncorrected formation energy: -0.73 eV/atom



# 6
Entry from the Alexandria database: CaAcLa2As4 after structural relaxation (PBE-GGA).

Cell and atoms, written as extended XYZ:
```
8
Lattice="-1.8605 -1.4179 3.7541 6.8002 0.2410 3.4613 1.0213 6.8619 3.0979" Properties=species:S:1:pos:R:3 pbc="T T T"
As 4.4653 1.1971 5.2711
As 1.4957 4.4879 5.0422
As 0.0465 0.3988 5.3854
As 5.9145 5.2862 4.9279
La 1.0213 6.8619 3.0979
La -0.4196 2.7220 3.4260
Ac 2.4699 -0.5884 3.6077
Ca 3.9107 3.5515 3.2796
```

Results
- Calculated total energy: -5.68 eV per atom
- Magnetization: 0.00 μB per cell
- Calculated volume: 30.2 Å³ per atom



# 7
Entry from the Alexandria database: CeY2Hg6 after structural relaxation (PBE-GGA).

Cell and atoms, written as extended XYZ:
```
9
Lattice="-0.0163 2.0275 2.7781 -6.5774 -4.5711 3.2975 8.1698 -2.3021 1.7279" Properties=species:S:1:pos:R:3 pbc="T T T"
Hg 1.0501 -3.5537 4.7286
Hg -3.8449 -4.3296 5.2662
Hg 0.5260 -1.2919 3.0749
Hg 3.7907 -4.3260 5.3082
Hg -2.2146 -0.5197 2.4952
Hg 5.4210 -0.5161 2.5373
Ce 8.1698 -2.3021 1.7279
Y 3.2541 -3.0584 2.2511
Y -1.6779 -1.7873 5.5524
```

Results
- Calculated total energy: -2.68 eV per atom
- Magnetization: 1.34 μB per cell
- Calculated volume: 24.8 Å³ per atom



# 8
Entry from the Alexandria database: Pr4SiBr5 after structural relaxation (PBE-GGA).

Cell and atoms, written as extended XYZ:
```
10
Lattice="4.2275 0.0000 0.0000 0.0000 8.7515 -0.4758 -2.1138 -1.7357 9.3308" Properties=species:S:1:pos:R:3 pbc="T T T"
Br 2.1138 0.2470 6.0754
Br 0.0000 2.3303 2.9487
Br 2.1138 4.3758 -0.2379
Br 0.0000 6.7688 2.7795
Br 2.1138 4.6855 5.9062
Pr 0.0000 6.8198 6.0584
Pr 0.0000 1.9706 -0.1012
Pr 2.1138 5.0452 8.9561
Pr 2.1138 0.1960 2.7965
Si 2.1138 0.0000 0.0000
```

Results
- Magnetization: 0.00 μB per cell
- Calculated volume: 34.2 Å³ per atom
- Uncorrected formation energy: -1.52 eV/atom